No. 1
NaHgI3 | the Alexandria database | PBEsol | optimized geometry; E_tot = -7.412 eV per cell; uncorrected formation energy = -0.0290 eV/atom
1.0
5.828 0.000 0.000
0.000 5.828 0.000
0.000 0.000 5.828
Hg I Na
1 3 1
Direct
0.500 0.500 0.500
0.500 0.000 0.000
0.000 0.000 0.500
0.000 0.500 0.000
0.000 0.000 0.000

=====

No. 2
K2FeAs | the Alexandria database | PBEsol | optimized geometry; E_tot = -15.822 eV per cell; energy relative to the elements = 128.7 meV/atom
1.0
-1.405 3.269 2.662
2.400 -2.422 4.241
3.278 3.933 -3.100
K As Fe
2 1 1
Direct
0.000 0.969 0.937
0.500 0.276 0.552
0.000 0.653 0.305
0.500 0.604 0.209

=====

No. 3
Y3HgSe | the Alexandria database | PBEsol | optimized geometry; E_tot = -25.014 eV per cell; uncorrected formation energy = -0.0260 eV/atom
1.0
-0.600 5.445 -0.530
-1.494 -0.676 -5.254
-5.263 -0.429 1.552
Y Hg Se
3 1 1
Direct
0.500 0.000 0.000
0.000 0.500 0.000
0.000 0.000 0.500
0.000 0.000 0.000
0.500 0.500 0.500

=====

- Among the records above, which one has the highest E_tot?
  NaHgI3

=====

- Among the records above, which one has the highest E_tot?
  NaHgI3